Entry 1:
A plane-wave DFT calculation with meta-GGA SCAN was carried out for a crystal of Li2HgF relaxed with PBEsol.

Summary:
Fermi-level density of states (states/eV/f.u.): 1.75
SG: I-42d (122)
E_form (uncorrected) (eV/atom): -1.606

Lattice parameters (Å, degrees): 5.560 5.560 5.560 94.95 117.18 117.18
Positions (direct):
Li1 0.851 0.476 0.125
Li2 0.149 0.274 0.625
Li3 0.649 0.375 0.524
Li4 0.351 0.875 0.726
Hg1 0.000 0.000 0.000
Hg2 0.500 0.750 0.250
F1 0.000 0.500 0.500
F2 0.500 0.250 0.750

---

Entry 2:
A plane-wave DFT calculation with meta-GGA SCAN was carried out for a crystal of HgOsS2 relaxed with PBEsol.

Summary:
Fermi-level density of states (states/eV/f.u.): 1.57
SG: R-3m (166)
E_form (uncorrected) (eV/atom): 0.457

Lattice parameters (Å, degrees): 2.802 2.802 10.716 82.49 82.49 60.00
Positions (direct):
S1 0.930 0.930 0.210
S2 0.070 0.070 0.790
Os1 0.000 0.000 0.000
Hg1 0.500 0.500 0.500

---

Entry 3:
A plane-wave DFT calculation with meta-GGA SCAN was carried out for a crystal of LiHg2Au relaxed with PBEsol.

Summary:
Fermi-level density of states (states/eV/f.u.): 1.36
SG: F-43m (216)
ΔH_f (0 K) (eV per atom): -0.23

Lattice parameters (Å, degrees): 4.716 4.716 4.716 60.00 60.00 60.00
Positions (direct):
Au1 0.500 0.500 0.500
Hg1 0.000 0.000 0.000
Hg2 0.750 0.750 0.750
Li1 0.250 0.250 0.250

---

Entry 4:
A plane-wave DFT calculation with meta-GGA SCAN was carried out for a crystal of Be2TlReAg relaxed with PBEsol.

Summary:
Fermi-level density of states (states/eV/f.u.): 2.37
SG: P4/mmm (123)
ΔH_f (0 K) (eV per atom): 1.93

Lattice parameters (Å, degrees): 4.366 4.366 5.128 90.00 90.00 90.00
Site moments in Bohr magnetons follow the coordinates.
Positions (direct):
Re1 0.500 0.500 0.500  3.00
Tl1 0.000 0.000 0.000  0.07
Ag1 0.000 0.000 0.500  0.03
Be1 0.000 0.500 0.000  0.03
Be2 0.500 0.000 0.000  0.03

---

Entry 5:
A plane-wave DFT calculation with meta-GGA SCAN was carried out for a crystal of Ta2BTeCl relaxed with PBEsol.

Summary:
Fermi-level density of states (states/eV/f.u.): 5.44
SG: P4/mmm (123)
E_form (uncorrected) (eV/atom): 2.655

Lattice parameters (Å, degrees): 5.074 5.074 5.060 90.00 90.00 90.00
Site moments in Bohr magnetons follow the coordinates.
Positions (direct):
Cl1 0.000 0.000 0.500  0.04
B1 0.500 0.500 0.500  -0.03
Te1 0.000 0.000 0.000  -0.03
Ta1 0.000 0.500 0.000  0.40
Ta2 0.500 0.000 0.000  0.40

---

Entry 6:
A plane-wave DFT calculation with meta-GGA SCAN was carried out for a crystal of Na2BeSiO4 relaxed with PBEsol.

Summary:
Fermi-level density of states (states/eV/f.u.): 0.00
SG: P2_1/c (14)
Energy above the lowest structure with this stoichiometry (kJ/mol of atoms): 0.0
E_form (uncorrected) (eV/atom): -2.708

Lattice parameters (Å, degrees): 4.960 7.044 9.935 90.05 90.00 90.00
Positions (direct):
Na1 0.209 0.001 0.890
Na2 0.682 0.265 0.860
Na3 0.182 0.735 0.640
Na4 0.318 0.735 0.140
Na5 0.818 0.265 0.360
Na6 0.709 0.999 0.610
Na7 0.291 0.001 0.390
Na8 0.791 0.999 0.110
Be1 0.842 0.499 0.088
Be2 0.342 0.501 0.412
Be3 0.158 0.501 0.912
Be4 0.658 0.499 0.588
Si1 0.844 0.722 0.342
Si2 0.656 0.722 0.842
Si3 0.156 0.278 0.658
Si4 0.344 0.278 0.158
O1 0.833 0.561 0.926
O2 0.836 0.314 0.621
O3 0.336 0.686 0.879
O4 0.164 0.686 0.379
O5 0.664 0.314 0.121
O6 0.765 0.940 0.376
O7 0.333 0.439 0.574
O8 0.167 0.439 0.074
O9 0.667 0.561 0.426
O10 0.708 0.683 0.681
O11 0.208 0.317 0.819
O12 0.292 0.317 0.319
O13 0.235 0.060 0.624
O14 0.265 0.060 0.124
O15 0.735 0.940 0.876
O16 0.792 0.683 0.181

---

Question: Which of these has the lowest Fermi-level density of states?
Answer: Na2BeSiO4